--- one ---
The following is a DFT calculation (PBE) of a relaxed structure of KTeNF2.

Output
**M_tot**: 0.0 μB/f.u.
**V**: 23.1 A^3/atom

a b c (Å): 4.7710 4.7710 5.0783
angles (deg): 90.00 90.00 90.00
Atoms (fractional coordinates):
K: 0.0000 0.0000 0.0000
F: 0.5000 0.0000 0.0000
F: 0.0000 0.5000 0.0000
Te: 0.5000 0.5000 0.5000
N: 0.0000 0.0000 0.5000

--- two ---
The following is a DFT calculation (PBE) of a relaxed structure of KTeNF2.

Output
**M_tot**: 0.0 μB/f.u.
**V**: 18.5 A^3/atom

a b c (Å): 4.7649 4.7649 4.0808
angles (deg): 90.00 90.00 90.00
Atoms (fractional coordinates):
K: 0.5000 0.5000 0.5000
F: 0.5000 0.0000 0.0000
F: 0.0000 0.5000 0.0000
N: 0.0000 0.0000 0.5000
Te: 0.0000 0.0000 0.0000

Most stable to least stable: two, one

--- one ---
The following is a DFT calculation (PBE) of a relaxed structure of KTiNF2.

Output
**M_tot**: 0.0 μB/f.u.
**V**: 13.6 A^3/atom

a b c (Å): 4.1992 4.1992 3.8531
angles (deg): 90.00 90.00 90.00
Atoms (fractional coordinates):
K: 0.5000 0.5000 0.5000
F: 0.0000 0.5000 0.0000
F: 0.5000 0.0000 0.0000
Ti: 0.0000 0.0000 0.0000
N: 0.0000 0.0000 0.5000

--- two ---
The following is a DFT calculation (PBE) of a relaxed structure of KTiNF2.

Output
**M_tot**: 0.0 μB/f.u.
**V**: 19.6 A^3/atom

a b c (Å): 4.5104 4.5104 4.8198
angles (deg): 90.00 90.00 90.00
Atoms (fractional coordinates):
F: 0.5000 0.0000 0.0000
F: 0.0000 0.5000 0.0000
Ti: 0.5000 0.5000 0.5000
N: 0.0000 0.0000 0.5000
K: 0.0000 0.0000 0.0000

Most stable to least stable: one, two